Al2FeRhO, optimized geometry, DFT GGA+U; spin magnetization = 0.669 μB per atom; raw total energy = -3.968 eV/atom; V = 18.455 Å³/atom; D(E_F) = 3.6 states/eV/cell; crystal system = tetragonal
1.0
4.4986 0.0000 0.0000
0.0000 4.4986 0.0000
0.0000 0.0000 4.5598
Al Fe Rh O
2 1 1 1
direct
0.0000 0.5000 0.0000 Al
0.5000 0.0000 0.0000 Al
0.0000 0.0000 0.0000 Fe
0.0000 0.0000 0.5000 Rh
0.5000 0.5000 0.5000 O